The following is a PBE calculation of Pr2FeGe4Pt3 after structural relaxation, from Alexandria via LeMat-Bulk.

a = 4.3222 Å, b = 4.3222 Å, c = 10.2632 Å
α = 90.00°, β = 90.00°, γ = 90.00°
Site moments in Bohr magnetons follow the coordinates.
Fractional positions:
Ge (0.0000, 0.0000, 0.0000)  0.00
Ge (0.5000, 0.0000, 0.6260)  -0.05
Ge (0.5000, 0.5000, 0.0000)  0.00
Ge (0.0000, 0.5000, 0.3740)  -0.05
Pt (0.0000, 0.5000, 0.1294)  -0.02
Pt (0.0000, 0.0000, 0.5000)  0.03
Pt (0.5000, 0.0000, 0.8706)  -0.02
Pr (0.5000, 0.0000, 0.2512)  0.01
Pr (0.0000, 0.5000, 0.7488)  0.01
Fe (0.5000, 0.5000, 0.5000)  2.26

Values from the calculation:
DFT formation energy = -0.81 eV per atom
Symmetry = No. 115

***

The following is a PBE calculation of Pr2FeGePt6 after structural relaxation, from Alexandria via LeMat-Bulk.

a = 5.4993 Å, b = 8.4288 Å, c = 6.6473 Å
α = 51.17°, β = 65.56°, γ = 90.00°
Site moments in Bohr magnetons follow the coordinates.
Fractional positions:
Pt (0.2485, 0.3908, 0.5031)  0.07
Pt (0.7487, 0.2476, 0.0071)  0.05
Pt (0.7515, 0.6092, 0.4969)  0.07
Pt (0.2442, 0.2476, 0.0071)  0.05
Pt (0.7558, 0.7524, 0.9929)  0.05
Pt (0.2513, 0.7524, 0.9930)  0.05
Fe (0.0000, 0.0000, 0.0000)  2.79
Pr (0.7436, 0.2060, 0.5129)  -0.05
Pr (0.2564, 0.7940, 0.4871)  -0.05
Ge (0.5000, 0.5000, 0.0000)  -0.02

Values from the calculation:
DFT formation energy = -0.69 eV per atom
Symmetry = No. 12

***

The following is a PBE calculation of PrFeGe2Ru after structural relaxation, from Alexandria via LeMat-Bulk.

a = 4.1651 Å, b = 4.1651 Å, c = 5.9699 Å
α = 110.42°, β = 110.42°, γ = 90.00°
Site moments in Bohr magnetons follow the coordinates.
Fractional positions:
Pr (0.0000, 0.0000, 0.0000)  -0.02
Fe (0.2500, 0.7500, 0.5000)  1.25
Ge (0.6304, 0.6304, 0.2608)  -0.03
Ge (0.3696, 0.3696, 0.7392)  -0.03
Ru (0.7500, 0.2500, 0.5000)  -0.03

Values from the calculation:
DFT formation energy = -0.52 eV per atom
Symmetry = No. 119